[1]
# UW4O12, relaxed, DFT PBE with a Hubbard U
# * VASP energy: -8.03 eV/atom
# * density: 8.1 g/cm3
data_UW4O12
_cell_length_a 7.5333
_cell_length_b 7.9577
_cell_length_c 7.9638
_cell_angle_alpha 90.00
_cell_angle_beta 90.00
_cell_angle_gamma 90.00
_space_group_name_H-M_alt 'I m m m'
_space_group_IT_number 71
_space_group_name_Hall '-I 2 2'
loop_
_atom_site_label
_atom_site_type_symbol
_atom_site_fract_x
_atom_site_fract_y
_atom_site_fract_z
U1 U 0.0000 0.0000 0.0000
W1 W 0.2500 0.2500 0.2500
O1 O 0.0000 0.2927 0.2917
O2 O 0.1881 0.0000 0.2321
O3 O 0.1890 0.2310 0.0000

[2]
# NbFeO2, relaxed, DFT PBE with a Hubbard U
# * VASP energy: -7.62 eV/atom
# * density: 5.9 g/cm3
data_NbFeO2
_cell_length_a 3.0582
_cell_length_b 3.0582
_cell_length_c 18.8597
_cell_angle_alpha 90.00
_cell_angle_beta 90.00
_cell_angle_gamma 120.00
_space_group_name_H-M_alt 'R -3 m'
_space_group_IT_number 166
_space_group_name_Hall '-R 3 2"'
loop_
_atom_site_label
_atom_site_type_symbol
_atom_site_fract_x
_atom_site_fract_y
_atom_site_fract_z
Nb1 Nb 0.0000 0.0000 0.0000
Fe1 Fe 0.0000 0.0000 0.5000
O1 O 0.0000 0.0000 0.1054